ReBr2Cl: optimized geometry, PBE-GGA.

Cell lengths 3.641, 7.414, 7.413 Å; angles 38.20, 90.00, 90.00 degrees
Site moments in Bohr magnetons follow the coordinates.
Element x y z (fractional)
1 Br 0.000 0.878 0.878  0.04
2 Br 0.000 0.622 0.622  0.04
3 Cl 0.500 0.250 0.250  0.10
4 Re 0.500 0.750 0.750  1.85

## Properties
- energy relative to the elements, uncorrected (eV/atom) = -0.064
- SG = No. 65
- uncorrected energy (eV per atom) = -4.474